Ni2Ru | PBE | optimized geometry

abc: 9.3777 2.6294 6.0523
angles: 90.00 105.02 90.00
With the nearest neighbours (Å) after each atom.
Space group C2/m (No. 12)
Symmetry-distinct sites (fractional):
Ni  0.0261  0.0000  0.3022 (multiplicity 4)  7 Ni 2.54-2.63, 5 Ru 2.55-2.60
Ni  0.1391  0.5000  0.0297 (multiplicity 4)  3 Ru 2.54-2.55, 9 Ni 2.54-2.63
Ru  0.1951  0.5000  0.6418 (multiplicity 4)  8 Ni 2.54-2.60, 4 Ru 2.58-2.63

Summary:
Formation enthalpy at 0 K ... 0.104 eV per atom